VASP calculation (GGA+U) on a geometry-optimized K2MoPbO4 structure.

The structure in POSCAR format:
```
K2MoPbO4
1.0
-2.859 2.859 5.455
2.859 -2.859 5.455
2.859 2.859 -5.455
K Mo Pb O
2 1 1 4
Direct
0.250 0.750 0.500
0.750 0.250 0.500
0.000 0.000 0.000
0.500 0.500 0.000
0.114 0.713 0.000
0.287 0.287 0.401
0.713 0.114 0.000
0.886 0.886 0.599
```

Results
**Space group**: No. 121
**Total energy**: -5.49 eV per atom
**Magnetization**: 2.013 μB per cell